CuGe after structural relaxation, computed with PBE.

Lattice parameters (Å, degrees): 5.0786 5.0786 5.0786 90.00 90.00 90.00
With the nearest neighbours (Å) after each atom.
Fractional coordinates of all 8 atoms:
Cu 0.0000 0.0000 0.0000  6 Ge 2.54
Cu 0.0000 0.5000 0.5000  6 Ge 2.54
Cu 0.5000 0.0000 0.5000  6 Ge 2.54
Cu 0.5000 0.5000 0.0000  6 Ge 2.54
Ge 0.0000 0.0000 0.5000  6 Cu 2.54
Ge 0.0000 0.5000 0.0000  6 Cu 2.54
Ge 0.5000 0.0000 0.0000  6 Cu 2.54
Ge 0.5000 0.5000 0.5000  6 Cu 2.54

Results
The calculation puts the energy of formation at 28 kJ per mole of atoms. The calculation puts the total energy at -4.07 eV per atom. As for the magnetization: 0.0 μB per cell. Its density is 6.906 Mg/m³. Its crystal system is cubic.

Cu4Ge after structural relaxation, computed with PBE.

Lattice parameters (Å, degrees): 7.0839 4.2345 4.7305 90.00 116.40 90.00
With the nearest neighbours (Å) after each atom.
Fractional coordinates of all 10 atoms:
Cu 0.0982 0.0000 0.2993  7 Cu 2.54-2.81, 3 Ge 2.54-2.57
Cu 0.1960 0.5000 0.0874  1 Ge 2.49, 7 Cu 2.51-2.60
Cu 0.3040 0.0000 0.9126  1 Ge 2.49, 7 Cu 2.51-2.60
Cu 0.4018 0.5000 0.7007  7 Cu 2.54-2.81, 3 Ge 2.54-2.57
Cu 0.5982 0.5000 0.2993  7 Cu 2.54-2.81, 3 Ge 2.54-2.57
Cu 0.6960 0.0000 0.0874  1 Ge 2.49, 7 Cu 2.51-2.60
Cu 0.8040 0.5000 0.9126  1 Ge 2.49, 7 Cu 2.51-2.60
Cu 0.9018 0.0000 0.7007  7 Cu 2.54-2.81, 3 Ge 2.54-2.57
Ge 0.0000 0.5000 0.5000  8 Cu 2.49-2.57
Ge 0.5000 0.0000 0.5000  8 Cu 2.49-2.57

Results
The calculation puts the energy of formation at 2 kJ per mole of atoms. The calculation puts the total energy at -4.18 eV per atom. As for the magnetization: 0.0 μB per cell. Its density is 8.540 Mg/m³. Its crystal system is monoclinic.

Cu8Ge3 after structural relaxation, computed with PBE.

Lattice parameters (Å, degrees): 4.5166 4.5166 9.6553 102.67 102.67 48.86
With the nearest neighbours (Å) after each atom.
Fractional coordinates of all 11 atoms:
Cu 0.0488 0.0488 0.3199  8 Cu 2.60-2.71, 4 Ge 2.62-2.65
Cu 0.1358 0.1358 0.9542  5 Ge 2.57-2.70, 7 Cu 2.59-2.74
Cu 0.2243 0.2243 0.5894  8 Cu 2.60-2.66, 4 Ge 2.61-2.62
Cu 0.3251 0.3251 0.2293  4 Ge 2.59-2.66, 8 Cu 2.62-2.74
Cu 0.6749 0.6749 0.7707  4 Ge 2.59-2.66, 8 Cu 2.62-2.74
Cu 0.7757 0.7757 0.4106  8 Cu 2.60-2.66, 4 Ge 2.61-2.62
Cu 0.8642 0.8642 0.0458  5 Ge 2.57-2.70, 7 Cu 2.59-2.74
Cu 0.9512 0.9512 0.6801  8 Cu 2.60-2.71, 4 Ge 2.62-2.65
Ge 0.3989 0.3989 0.8547  11 Cu 2.57-2.70
Ge 0.5000 0.5000 0.5000  12 Cu 2.61-2.66
Ge 0.6011 0.6011 0.1453  11 Cu 2.57-2.70

Results
The calculation puts the energy of formation at 3 kJ per mole of atoms. The calculation puts the total energy at -4.21 eV per atom. As for the magnetization: 0.0 μB per cell. Its density is 8.377 Mg/m³. Its crystal system is monoclinic.

Cu13Ge2 after structural relaxation, computed with PBE.

Lattice parameters (Å, degrees): 7.1635 7.1635 7.1635 54.24 54.24 54.24
With the nearest neighbours (Å) after each atom.
Fractional coordinates of all 15 atoms:
Cu 0.0000 0.0000 0.0000  2 Ge 2.42, 6 Cu 2.48
Cu 0.1107 0.1107 0.4973  2 Ge 2.42-2.44, 5 Cu 2.45-2.53
Cu 0.1107 0.4973 0.1107  2 Ge 2.42-2.44, 5 Cu 2.45-2.53
Cu 0.2494 0.2494 0.6230  6 Cu 2.44-2.53
Cu 0.2494 0.6230 0.2494  6 Cu 2.44-2.53
Cu 0.3770 0.7506 0.7506  6 Cu 2.44-2.53
Cu 0.4973 0.1107 0.1107  2 Ge 2.42-2.44, 5 Cu 2.45-2.53
Cu 0.5027 0.8893 0.8893  2 Ge 2.42-2.44, 5 Cu 2.45-2.53
Cu 0.6230 0.2494 0.2494  6 Cu 2.44-2.53
Cu 0.7506 0.3770 0.7506  6 Cu 2.44-2.53
Cu 0.7506 0.7506 0.3770  6 Cu 2.44-2.53
Cu 0.8893 0.5027 0.8893  2 Ge 2.42-2.44, 5 Cu 2.45-2.53
Cu 0.8893 0.8893 0.5027  2 Ge 2.42-2.44, 5 Cu 2.45-2.53
Ge 0.1322 0.1322 0.1322  7 Cu 2.42-2.44
Ge 0.8678 0.8678 0.8678  7 Cu 2.42-2.44

Results
The calculation puts the energy of formation at 25 kJ per mole of atoms. The calculation puts the total energy at -3.91 eV per atom. As for the magnetization: 0.0 μB per cell. Its density is 7.170 Mg/m³. Its crystal system is trigonal.

Cu8Ge3 after structural relaxation, computed with PBE.

Lattice parameters (Å, degrees): 5.5423 5.5423 5.5423 95.22 95.22 95.22
With the nearest neighbours (Å) after each atom.
Fractional coordinates of all 11 atoms:
Cu 0.1408 0.1408 0.1408  3 Ge 2.37, 4 Cu 2.45-2.61
Cu 0.1922 0.4143 0.5556  1 Ge 2.42, 6 Cu 2.46-2.61
Cu 0.4143 0.5556 0.1922  1 Ge 2.42, 6 Cu 2.46-2.61
Cu 0.4444 0.8078 0.5857  1 Ge 2.42, 6 Cu 2.46-2.61
Cu 0.5556 0.1922 0.4143  1 Ge 2.42, 6 Cu 2.46-2.61
Cu 0.5857 0.4444 0.8078  1 Ge 2.42, 6 Cu 2.46-2.61
Cu 0.8078 0.5857 0.4444  1 Ge 2.42, 6 Cu 2.46-2.61
Cu 0.8592 0.8592 0.8592  3 Ge 2.37, 4 Cu 2.45-2.61
Ge 0.0000 0.0000 0.5000  4 Cu 2.37-2.42
Ge 0.0000 0.5000 0.0000  4 Cu 2.37-2.42
Ge 0.5000 0.0000 0.0000  4 Cu 2.37-2.42

Results
The calculation puts the energy of formation at 30 kJ per mole of atoms. The calculation puts the total energy at -3.92 eV per atom. As for the magnetization: 0.0 μB per cell. Its density is 7.179 Mg/m³. Its crystal system is trigonal.

Cu5Ge2 after structural relaxation, computed with PBE.

Lattice parameters (Å, degrees): 7.0566 7.0566 7.0566 34.04 34.04 34.04
With the nearest neighbours (Å) after each atom.
Fractional coordinates of all 7 atoms:
Cu 0.0000 0.0000 0.0000  8 Cu 2.52-2.57
Cu 0.1264 0.1264 0.1264  4 Ge 2.45-2.53, 1 Cu 2.52
Cu 0.3807 0.3807 0.3807  4 Ge 2.50-2.62, 3 Cu 2.57
Cu 0.6193 0.6193 0.6193  4 Ge 2.50-2.62, 3 Cu 2.57
Cu 0.8736 0.8736 0.8736  4 Ge 2.45-2.53, 1 Cu 2.52
Ge 0.2492 0.2492 0.2492  8 Cu 2.45-2.62
Ge 0.7508 0.7508 0.7508  8 Cu 2.45-2.62

Results
The calculation puts the energy of formation at 6 kJ per mole of atoms. The calculation puts the total energy at -4.19 eV per atom. As for the magnetization: 0.0 μB per cell. Its density is 7.833 Mg/m³. Its crystal system is trigonal.